Entry 1:
Material: CsLa3Os
Method: DFT, PBE
State: optimized geometry

Output
Mass density (Mg/m³): 6.20
Energy of formation from the pure elements (eV per atom): 0.132
Total energy (eV per atom): -5.241

a = 5.8305 Å, b = 5.8305 Å, c = 5.8305 Å
α = 90.00°, β = 90.00°, γ = 90.00°
Closest atoms and distances in Å follow each position.
Atoms (fractional coordinates):
1 La 0.0000 0.5000 0.0000  2 Os 2.92
2 Os 0.0000 0.0000 0.0000  6 La 2.92
3 La 0.0000 0.0000 0.5000  2 Os 2.92
4 Cs 0.5000 0.5000 0.5000  12 La 4.12
5 La 0.5000 0.0000 0.0000  2 Os 2.92

Entry 2:
Material: CdTe2Se
Method: DFT, PBE
State: optimized geometry

Output
ΔE_f (raw) (meV/atom): -54
Mass density (Mg/m³): 6.54
Total energy (eV per atom): -2.724

a = 4.2130 Å, b = 5.2997 Å, c = 5.3015 Å
α = 73.21°, β = 90.00°, γ = 90.00°
Closest atoms and distances in Å follow each position.
Atoms (fractional coordinates):
1 Te 0.5000 0.2500 0.2490  2 Te 3.02, 2 Cd 3.10, 2 Se 3.16
2 Te 0.0000 0.9946 0.9950  2 Te 3.02, 2 Se 3.03, 2 Cd 3.16-3.17
3 Se 0.5000 0.7393 0.7380  2 Cd 2.83, 4 Te 3.03-3.16
4 Cd 0.0000 0.5161 0.5180  2 Se 2.83, 3 Te 3.10-3.16

Entry 3:
Material: NpCu2TeO6
Method: DFT, PBE
State: optimized geometry

Output
ΔE_f (raw) (meV/atom): -1440
Mass density (Mg/m³): 7.35
Total energy (eV per atom): -6.842

a = 5.4526 Å, b = 5.4526 Å, c = 6.0239 Å
α = 90.81°, β = 116.30°, γ = 119.83°
Closest atoms and distances in Å follow each position.
Atoms (fractional coordinates):
1 O 0.1438 0.4037 0.2354  1 Cu 2.03, 1 Te 2.05, 1 Np 2.23
2 Cu 0.5123 0.2589 0.7371  3 O 1.91-1.98
3 Cu 0.5167 0.7640 0.2264  3 O 1.91-2.03
4 O 0.1515 0.2311 0.7582  1 Cu 1.96, 1 Np 2.03
5 O 0.8459 0.6193 0.7345  1 Cu 1.91, 1 Np 2.06
6 Np 0.9920 0.9946 0.9786  6 O 2.03-2.27
7 O 0.8697 0.7419 0.2462  1 Cu 1.94, 1 Te 2.03
8 O 0.4726 0.8766 0.7082  1 Cu 1.98, 1 Te 2.02
9 Te 0.0130 0.5117 0.4720  3 O 2.02-2.05
10 O 0.4481 0.0760 0.2059  1 Cu 1.91, 1 Np 2.03

Entry 4:
Material: NdEuBiCl
Method: DFT, PBE
State: optimized geometry

Output
ΔE_f (raw) (meV/atom): -1134
Mass density (Mg/m³): 7.67
Total energy (eV per atom): -6.326

a = 5.4914 Å, b = 5.4914 Å, c = 5.4914 Å
α = 60.00°, β = 60.00°, γ = 60.00°
Closest atoms and distances in Å follow each position.
Atoms (fractional coordinates):
1 Cl 0.2500 0.2500 0.2500  4 Nd 3.36, 4 Eu 3.36
2 Bi 0.7500 0.7500 0.7500  4 Nd 3.36, 4 Eu 3.36
3 Eu 0.5000 0.5000 0.5000  4 Cl 3.36, 4 Bi 3.36
4 Nd 0.0000 0.0000 0.0000  4 Cl 3.36, 4 Bi 3.36

Entry 5:
Material: TaN
Method: DFT, PBE
State: optimized geometry

Output
ΔE_f (raw) (meV/atom): -758
Mass density (Mg/m³): 11.44
Total energy (eV per atom): -10.847

a = 3.3264 Å, b = 4.7464 Å, c = 10.7529 Å
α = 90.00°, β = 90.00°, γ = 90.00°
Closest atoms and distances in Å follow each position.
Atoms (fractional coordinates):
1 Ta 0.0000 0.6274 0.5000  4 N 2.08-2.15
2 N 0.5000 0.3402 0.5000  4 Ta 2.05-2.15
3 N 0.0000 0.7958 0.6784  4 Ta 2.08-2.10
4 N 0.0000 0.7958 0.3216  4 Ta 2.08-2.10
5 Ta 0.0000 0.9542 0.8607  4 N 2.05-2.10
6 Ta 0.0000 0.9542 0.1393  4 N 2.05-2.10
7 N 0.0000 0.6598 0.0000  4 Ta 2.05-2.15
8 Ta 0.5000 0.3726 0.0000  4 N 2.08-2.15
9 N 0.5000 0.2042 0.8216  4 Ta 2.08-2.10
10 N 0.5000 0.2042 0.1784  4 Ta 2.08-2.10
11 Ta 0.5000 0.0458 0.6393  4 N 2.05-2.10
12 Ta 0.5000 0.0458 0.3607  4 N 2.05-2.10

Entry 6:
Material: FeSiC2
Method: DFT, PBE
State: optimized geometry

Output
ΔE_f (raw) (meV/atom): 415
Mass density (Mg/m³): 4.58
Total energy (eV per atom): -7.668

a = 2.8903 Å, b = 2.8905 Å, c = 5.4137 Å
α = 90.01°, β = 90.00°, γ = 120.00°
Closest atoms and distances in Å follow each position.
Atoms (fractional coordinates):
1 C 0.8777 0.1049 0.5544  1 C 1.39
2 Fe 0.5446 0.4386 0.7539  3 C 1.99
3 C 0.8776 0.1047 0.2976  1 C 1.39
4 Si 0.2108 0.7711 0.1288  3 C 1.90

Entry 7:
Material: La2BeAuF
Method: DFT, PBE
State: optimized geometry

Output
ΔE_f (raw) (meV/atom): -648
Mass density (Mg/m³): 6.53
Total energy (eV per atom): -4.394

a = 5.5095 Å, b = 4.2102 Å, c = 5.5095 Å
α = 90.00°, β = 90.00°, γ = 90.00°
Closest atoms and distances in Å follow each position.
Atoms (fractional coordinates):
1 Au 0.0000 0.5000 0.0000  2 Be 2.11
2 La 0.0000 0.0000 0.5000  2 Be 2.75
3 Be 0.0000 0.0000 0.0000  2 Au 2.11
4 F 0.5000 0.5000 0.5000  8 La 3.47
5 La 0.5000 0.0000 0.0000  2 Be 2.75

Entry 8:
Material: AlFeGeRh
Method: DFT, PBE
State: optimized geometry

Output
Mass density (Mg/m³): 8.29
Energy of formation from the pure elements (eV per atom): -0.430
Total energy (eV per atom): -6.474

a = 4.1826 Å, b = 4.1826 Å, c = 4.1826 Å
α = 60.00°, β = 60.00°, γ = 60.00°
Closest atoms and distances in Å follow each position.
Atoms (fractional coordinates):
1 Al 0.7500 0.7500 0.7500  4 Rh 2.56, 4 Fe 2.56
2 Rh 0.0000 0.0000 0.0000  4 Ge 2.56, 4 Al 2.56
3 Ge 0.2500 0.2500 0.2500  4 Fe 2.56, 4 Rh 2.56
4 Fe 0.5000 0.5000 0.5000  4 Ge 2.56, 4 Al 2.56

Entry 9:
Material: As2H5Cl2
Method: DFT, PBE
State: optimized geometry

Output
Mass density (Mg/m³): 2.29
Total energy (eV per atom): -3.324

a = 5.0560 Å, b = 6.5849 Å, c = 10.6861 Å
α = 107.95°, β = 103.68°, γ = 90.00°
Closest atoms and distances in Å follow each position.
Atoms (fractional coordinates):
1 H 0.7326 0.5091 0.0093  1 As 1.55
2 H 0.2510 0.4464 0.3822  1 As 1.54
3 H 0.3689 0.5642 0.6178  1 As 1.54
4 H 0.2674 0.4997 0.9907  1 As 1.55
5 As 0.5000 0.3485 0.0000  2 H 1.55
6 Cl 0.1644 0.9759 0.2446  1 As 2.42, 1 H 2.51
7 As 0.0000 0.8485 0.0000  2 H 1.55
8 H 0.9965 0.2553 0.5000  2 As 1.73-1.75
9 Cl 0.4198 0.2312 0.7554  1 As 2.42, 1 H 2.51
10 Cl 0.8356 0.7312 0.7554  1 As 2.42, 1 H 2.51
11 H 0.7767 0.0091 0.0093  1 As 1.55
12 H 0.7490 0.0642 0.6178  1 As 1.54
13 As 0.1111 0.5056 0.5000  2 H 1.54
14 H 0.0035 0.7553 0.5000  2 As 1.73-1.75
15 H 0.6311 0.9464 0.3822  1 As 1.54
16 As 0.8889 0.0056 0.5000  2 H 1.54
17 Cl 0.5802 0.4759 0.2446  1 As 2.42, 1 H 2.51
18 H 0.2233 0.9997 0.9907  1 As 1.55

Entry 10:
Material: Na4B7C
Method: DFT, PBE
State: optimized geometry

Output
Mass density (Mg/m³): 2.26
Offset from the most stable computed form (meV/atom): 13
Energy of formation from the pure elements (eV per atom): 0.235
Total energy (eV per atom): -4.869

a = 9.1906 Å, b = 9.1906 Å, c = 10.6621 Å
α = 106.82°, β = 106.82°, γ = 17.85°
Closest atoms and distances in Å follow each position.
Atoms (fractional coordinates):
1 Na 0.9994 0.9994 0.9990  11 B 2.71-2.88, 1 C 2.83, 6 Na 2.85-3.03
2 B 0.3748 0.3748 0.3706  1 C 1.60, 2 B 1.76
3 B 0.3754 0.3754 0.0159  3 B 1.74-1.77
4 B 0.1252 0.1252 0.3794  1 C 1.60, 2 B 1.76
5 C 0.3746 0.3746 0.5204  3 B 1.60-1.62
6 B 0.8753 0.8753 0.1135  3 B 1.72-1.77
7 B 0.8748 0.8748 0.7588  3 B 1.74-1.77
8 C 0.1254 0.1254 0.2296  3 B 1.60-1.62
9 B 0.6247 0.6247 0.6365  3 B 1.72-1.77
10 Na 0.0013 0.0013 0.5004  10 B 2.69-2.90, 2 C 2.77, 2 Na 2.85
11 B 0.6252 0.6252 0.1574  2 C 1.62, 1 B 1.77
12 B 0.3750 0.3750 0.8527  3 B 1.74
13 B 0.1250 0.1250 0.8973  3 B 1.74
14 B 0.6252 0.6252 0.9912  3 B 1.74-1.77
15 Na 0.2506 0.2506 0.1258  11 B 2.71-2.91, 1 C 2.80, 6 Na 2.85-3.03
16 Na 0.5006 0.5006 0.7510  11 B 2.71-2.88, 1 C 2.83, 6 Na 2.85-3.03
17 Na 0.2494 0.2494 0.6242  11 B 2.71-2.91, 1 C 2.80, 6 Na 2.85-3.03
18 B 0.8748 0.8748 0.5926  2 C 1.62, 1 B 1.77
19 B 0.1246 0.1246 0.7341  3 B 1.74-1.77
20 Na 0.7500 0.7500 0.3750  8 B 2.69-2.78, 4 C 2.74, 2 Na 2.85
21 Na 0.7500 0.7500 0.8750  12 B 2.73-2.88, 6 Na 2.85-3.03
22 Na 0.4987 0.4987 0.2496  10 B 2.69-2.90, 2 C 2.77, 2 Na 2.85
23 B 0.8749 0.8749 0.2742  3 B 1.72-1.76
24 B 0.6251 0.6251 0.4758  3 B 1.72-1.76

Entry 11:
Material: InRe2Os
Method: DFT, PBE
State: optimized geometry

Output
Mass density (Mg/m³): 17.40
Energy of formation from the pure elements (eV per atom): 0.468
Total energy (eV per atom): -9.248

a = 4.0039 Å, b = 2.8313 Å, c = 6.3716 Å
α = 63.53°, β = 90.00°, γ = 90.00°
Closest atoms and distances in Å follow each position.
Atoms (fractional coordinates):
1 In 0.5000 0.2500 0.2500  2 In 2.83, 2 Os 2.85, 8 Re 2.92
2 Os 0.5000 0.7500 0.7500  8 Re 2.75-2.77, 2 Os 2.83, 2 In 2.85
3 Re 0.0000 0.4683 0.5278  3 Re 2.53-2.83, 4 Os 2.75-2.77
4 Re 0.0000 0.0317 0.9722  3 Re 2.53-2.83, 4 Os 2.75-2.77

Entry 12:
Material: Ti3CdN
Method: DFT, PBE
State: optimized geometry

Output
ΔE_f (raw) (meV/atom): -400
Mass density (Mg/m³): 5.19
Total energy (eV per atom): -6.985

a = 3.3880 Å, b = 3.3880 Å, c = 17.3917 Å
α = 90.00°, β = 90.00°, γ = 120.00°
Closest atoms and distances in Å follow each position.
Atoms (fractional coordinates):
1 Ti 0.6667 0.3333 0.1306  1 N 2.08
2 Ti 0.6667 0.3333 0.3694  1 N 2.08
3 Ti 0.0000 0.0000 0.7500  3 N 1.96
4 Cd 0.0000 0.0000 0.5000  6 Ti 3.00
5 N 0.6667 0.3333 0.2500  5 Ti 1.96-2.08
6 Ti 0.3333 0.6667 0.8694  1 N 2.08
7 N 0.3333 0.6667 0.7500  5 Ti 1.96-2.08
8 Ti 0.3333 0.6667 0.6306  1 N 2.08
9 Ti 0.0000 0.0000 0.2500  3 N 1.96
10 Cd 0.0000 0.0000 0.0000  6 Ti 3.00

Copy entry 8 word for word.
Material: AlFeGeRh
Method: DFT, PBE
State: optimized geometry

Output
Mass density (Mg/m³): 8.29
Energy of formation from the pure elements (eV per atom): -0.430
Total energy (eV per atom): -6.474

a = 4.1826 Å, b = 4.1826 Å, c = 4.1826 Å
α = 60.00°, β = 60.00°, γ = 60.00°
Closest atoms and distances in Å follow each position.
Atoms (fractional coordinates):
1 Al 0.7500 0.7500 0.7500  4 Rh 2.56, 4 Fe 2.56
2 Rh 0.0000 0.0000 0.0000  4 Ge 2.56, 4 Al 2.56
3 Ge 0.2500 0.2500 0.2500  4 Fe 2.56, 4 Rh 2.56
4 Fe 0.5000 0.5000 0.5000  4 Ge 2.56, 4 Al 2.56